K2Tl7Pb PBE-GGA optimized geometry; formation energy from the elements = 1.493 eV per formula unit; total DFT energy (no corrections) = -2.10 eV per atom; SG = Fm-3m
1.0
8.6230 0.0000 0.0000
4.3115 7.4677 0.0000
4.3115 2.4892 7.0406
K Tl Pb
2 7 1
Direct
0.2500 0.2500 0.2500
0.7500 0.7500 0.7500
0.5000 0.5000 0.5000
0.2503 0.7497 0.7497
0.2503 0.7497 0.2503
0.7497 0.2503 0.7497
0.7497 0.7497 0.2503
0.2503 0.2503 0.7497
0.7497 0.2503 0.2503
0.0000 0.0000 0.0000

---

RbBa3Ta PBE-GGA optimized geometry; formation energy from the elements = 3.975 eV per formula unit; total DFT energy (no corrections) = -2.92 eV per atom; SG = Pm-3m
1.0
-5.9609 -0.0570 -2.5073
2.2347 -3.0555 -5.2434
-1.1384 -5.6994 2.8361
Ba Rb Ta
3 1 1
Direct
0.0000 0.5000 0.0000
0.0000 0.0000 0.5000
0.5000 0.0000 0.0000
0.5000 0.5000 0.5000
0.0000 0.0000 0.0000

---

NaUAs2 PBE-GGA optimized geometry; formation energy from the elements = -1.738 eV per formula unit; total DFT energy (no corrections) = -5.91 eV per atom; SG = P4/mmm
1.0
-0.2422 1.2649 -3.4224
1.7105 -2.9903 -1.2262
-6.1976 -3.2348 -0.7570
Na As U
1 2 1
Direct
0.5000 0.5000 0.5000
0.0000 0.0000 0.7940
0.0000 0.0000 0.2060
0.5000 0.5000 0.0000

---

Ba2YThSe6 PBE-GGA optimized geometry; total DFT energy (no corrections) = -5.62 eV per atom; SG = P2_1/c
1.0
7.4980 0.0000 -0.0832
0.0000 8.0631 0.0000
-0.0494 0.0000 10.9698
Ba Y Th Se
4 2 2 12
Direct
0.0288 0.9202 0.2488
0.5288 0.5798 0.7488
0.9712 0.0798 0.7512
0.4712 0.4202 0.2512
0.5000 0.0000 0.5000
0.0000 0.5000 0.0000
0.5000 0.0000 0.0000
0.0000 0.5000 0.5000
0.3061 0.6982 0.0518
0.8061 0.8018 0.5518
0.6939 0.3018 0.9482
0.1939 0.1982 0.4482
0.3109 0.6989 0.4493
0.8109 0.8011 0.9493
0.6891 0.3011 0.5507
0.1891 0.1989 0.0507
0.9008 0.5240 0.2470
0.4008 0.9760 0.7470
0.0992 0.4760 0.7530
0.5992 0.0240 0.2530

---

CaReAs2 PBE-GGA optimized geometry; formation energy from the elements = -0.351 eV per formula unit; total DFT energy (no corrections) = -6.03 eV per atom; SG = Immm
1.0
5.6218 0.0076 -0.0033
1.6749 5.3666 0.0033
-2.5789 -4.1391 2.7968
Re As Ca
1 2 1
Direct
0.7500 0.2500 0.5000
0.9581 0.9581 0.0000
0.5419 0.5419 0.0000
0.2500 0.7500 0.5000

---

Sr6Rh2I3N PBE-GGA optimized geometry; total DFT energy (no corrections) = -4.00 eV per atom; SG = C2/m
1.0
7.4336 0.0041 0.0019
-3.7115 6.4408 0.0019
-1.2395 -2.1462 7.9750
Sr Rh I N
6 2 3 1
Direct
0.9388 0.6337 0.8165
0.7568 0.7568 0.1855
0.0612 0.3663 0.1835
0.6337 0.9388 0.8165
0.2432 0.2432 0.8145
0.3663 0.0612 0.1835
0.3339 0.6661 0.0000
0.6661 0.3339 0.0000
0.1695 0.8305 0.5000
0.8305 0.1695 0.5000
0.5000 0.5000 0.5000
0.0000 0.0000 0.0000

---

Tb3ErTe6 PBE-GGA optimized geometry; total DFT energy (no corrections) = -5.08 eV per atom; SG = P2_1/c
1.0
-6.7770 0.8197 -2.6567
0.4415 -7.3165 -3.3836
-4.1176 -4.5670 9.3382
Tb Er Te
6 2 12
Direct
0.5530 0.8788 0.7481
0.5000 0.5000 0.0000
0.4470 0.1212 0.2519
0.0530 0.6212 0.2481
0.0000 0.0000 0.5000
0.9470 0.3788 0.7519
0.5000 0.5000 0.5000
0.0000 0.0000 0.0000
0.6634 0.1737 0.9178
0.6607 0.1759 0.5808
0.6660 0.4480 0.2521
0.3340 0.5520 0.7479
0.3393 0.8241 0.4192
0.3366 0.8263 0.0822
0.1634 0.3263 0.4178
0.1607 0.3241 0.0808
0.1660 0.0520 0.7521
0.8340 0.9480 0.2479
0.8393 0.6759 0.9192
0.8366 0.6737 0.5822

---

ZnSb2P PBE-GGA optimized geometry; total DFT energy (no corrections) = -3.37 eV per atom; SG = Immm
1.0
-1.7956 2.8060 4.4549
1.7956 -2.8060 4.4549
1.7956 2.8060 -4.4549
Zn Sb P
1 2 1
Direct
0.0000 0.5000 0.5000
0.7309 0.7309 0.0000
0.2691 0.2691 0.0000
0.5000 0.0000 0.5000

---

Na5Tl8Ga PBE-GGA optimized geometry; formation energy from the elements = -0.689 eV per formula unit; total DFT energy (no corrections) = -2.09 eV per atom; SG = I-4
1.0
8.1354 -0.0525 0.0902
-2.8021 7.6378 -0.0902
-2.5313 -3.8879 6.6838
Na Tl Ga
5 8 1
Direct
0.9395 0.3728 0.0969
0.9031 0.8427 0.2760
0.7240 0.6272 0.5667
0.5000 0.0000 0.5000
0.4333 0.1573 0.0605
0.0886 0.7205 0.9714
0.0286 0.1172 0.7491
0.8315 0.2569 0.4249
0.5751 0.4066 0.8320
0.4255 0.5934 0.1685
0.6318 0.8828 0.9114
0.2509 0.2795 0.3682
0.1680 0.7431 0.5745
0.2500 0.5000 0.7500